# 1
Density functional theory data (GGA-PBEsol) for an optimized crystal structure of CuPt.

Values from the calculation:
density of states at the Fermi level: 0.808 states/eV/atom
E_tot: -68.76 eV for the cell shown
ρ: 16.1 Mg/m³

Cell lengths 4.5719, 4.5719, 8.0746 Å; angles 90.00, 90.00, 108.46 degrees
Positions (direct):
Cu: 0.0000 0.5000 0.0086
Cu: 0.0000 0.0000 0.1723
Cu: 0.0000 0.5000 0.3278
Cu: 0.0000 0.0000 0.4888
Cu: 0.5000 0.0000 0.0086
Cu: 0.5000 0.0000 0.3278
Pt: 0.0000 0.5000 0.6596
Pt: 0.0000 0.0000 0.8513
Pt: 0.5000 0.5000 0.1669
Pt: 0.5000 0.5000 0.4905
Pt: 0.5000 0.0000 0.6596
Pt: 0.5000 0.5000 0.8381

---

# 2
Density functional theory data (GGA-PBEsol) for an optimized crystal structure of Co2Mo3.

Values from the calculation:
density of states at the Fermi level: 1.138 states/eV/atom
E_tot: -49.34 eV for the cell shown
ρ: 10.1 Mg/m³

Cell lengths 2.6630, 2.6630, 11.0040 Å; angles 83.05, 83.05, 60.00 degrees
Positions (direct):
Co: 0.3983 0.3983 0.8052
Co: 0.6017 0.6017 0.1948
Mo: 0.0000 0.0000 0.0000
Mo: 0.2047 0.2047 0.3860
Mo: 0.7953 0.7953 0.6140

---

# 3
Density functional theory data (GGA-PBEsol) for an optimized crystal structure of RbBaP2O.

Values from the calculation:
density of states at the Fermi level: 0.985 states/eV/atom
E_tot: -17.08 eV for the cell shown
ρ: 3.5 Mg/m³

Cell lengths 4.7624, 5.4472, 5.4472 Å; angles 90.00, 90.00, 90.00 degrees
Positions (direct):
O: 0.5000 0.0000 0.0000
P: 0.0000 0.0000 0.5000
P: 0.0000 0.5000 0.0000
Ba: 0.5000 0.5000 0.5000
Rb: 0.0000 0.0000 0.0000

---

- What is the E_tot in the third record?
  -17.08 eV for the cell shown

---

- What is the ρ in the first record?
  16.1 Mg/m³